# 1
# CdInAs2

An optimized crystal structure of CdInAs2 (PBE, Alexandria via LeMat-Bulk).

Cell and atoms, written as POSCAR:
```
CdInAs2
1.0
3.194 0.000 0.000
0.000 4.968 0.000
0.000 0.000 5.685
Cd In As
1 1 2
Direct
0.000 0.000 0.000 Cd
0.500 0.500 0.499 In
0.000 0.000 0.500 As
0.500 0.500 0.999 As
```

Output
- symmetry = Pmm2, No. 25
- spin magnetization (μB/f.u.) = 0.000
- calculated formation energy (eV per atom) = 0.06
- theoretical density (g/cm3) = 6.9



# 2
# Pm3Nd2PuAs6

An optimized crystal structure of Pm3Nd2PuAs6 (PBE, Alexandria via LeMat-Bulk).

Cell and atoms, written as POSCAR:
```
Pm3Nd2PuAs6
1.0
9.215 -2.118 0.000
9.215 2.118 0.000
-1.943 0.000 8.239
Pm Nd Pu As
3 2 1 6
Direct
0.000 0.000 0.000 Pm
0.332 0.332 0.667 Pm
0.668 0.668 0.333 Pm
0.333 0.333 0.166 Nd
0.667 0.667 0.834 Nd
0.000 0.000 0.500 Pu
0.164 0.164 0.581 As
0.166 0.166 0.085 As
0.499 0.499 0.742 As
0.501 0.501 0.258 As
0.834 0.834 0.915 As
0.836 0.836 0.419 As
```

Output
- symmetry = C2/m, No. 12
- spin magnetization (μB/f.u.) = 4.858
- calculated formation energy (eV per atom) = -1.43
- theoretical density (g/cm3) = 7.3



# 3
# La3Nd2Tm

An optimized crystal structure of La3Nd2Tm (PBE, Alexandria via LeMat-Bulk).

Cell and atoms, written as POSCAR:
```
La3Nd2Tm
1.0
6.867 0.000 0.000
0.000 18.088 0.000
0.000 0.000 3.465
La Nd Tm
6 4 2
Direct
0.000 0.000 0.000 La
0.240 0.320 0.000 La
0.260 0.820 0.500 La
0.500 0.500 0.500 La
0.740 0.180 0.500 La
0.760 0.680 0.000 La
0.233 0.150 0.500 Nd
0.267 0.650 0.000 Nd
0.733 0.350 0.000 Nd
0.767 0.850 0.500 Nd
0.000 0.500 0.000 Tm
0.500 0.000 0.500 Tm
```

Output
- symmetry = Pnnm, No. 58
- spin magnetization (μB/f.u.) = 0.000
- ΔE to the lowest computed polymorph (meV/atom) = 203
- calculated formation energy (eV per atom) = 0.23
- theoretical density (g/cm3) = 6.7



# 4
# As2SeSCl

An optimized crystal structure of As2SeSCl (PBE, Alexandria via LeMat-Bulk).

Cell and atoms, written as POSCAR:
```
As2SeSCl
1.0
4.922 0.000 0.000
0.000 4.922 0.000
0.000 0.000 4.822
As Se S Cl
2 1 1 1
Direct
0.000 0.500 0.000 As
0.500 0.000 0.000 As
0.000 0.000 0.500 Se
0.000 0.000 0.000 S
0.500 0.500 0.500 Cl
```

Output
- formation energy without anion corrections (eV/atom) = 0.707
- symmetry = P4/mmm, No. 123
- spin magnetization (μB/f.u.) = 0.000
- ΔE to the lowest computed polymorph (meV/atom) = 0
- theoretical density (g/cm3) = 4.2



# 5
# Ho4In2Bi

An optimized crystal structure of Ho4In2Bi (PBE, Alexandria via LeMat-Bulk).

Cell and atoms, written as POSCAR:
```
Ho4In2Bi
1.0
5.785 0.000 0.000
0.000 6.552 0.000
-2.883 0.000 10.507
Ho In Bi
8 4 2
Direct
0.068 0.250 0.140 Ho
0.219 0.750 0.444 Ho
0.369 0.006 0.733 Ho
0.369 0.494 0.733 Ho
0.631 0.506 0.267 Ho
0.631 0.994 0.267 Ho
0.781 0.250 0.556 Ho
0.932 0.750 0.860 Ho
0.222 0.250 0.440 In
0.499 0.750 0.996 In
0.501 0.250 0.004 In
0.778 0.750 0.560 In
0.078 0.750 0.159 Bi
0.922 0.250 0.841 Bi
```

Output
- symmetry = P2_1/m, No. 11
- spin magnetization (μB/f.u.) = 0.000
- calculated formation energy (eV per atom) = -0.39
- theoretical density (g/cm3) = 9.2



# 6
# ZnTc2IrPt

An optimized crystal structure of ZnTc2IrPt (PBE, Alexandria via LeMat-Bulk).

Cell and atoms, written as POSCAR:
```
ZnTc2IrPt
1.0
4.687 0.000 0.000
0.000 4.687 0.000
0.000 0.000 4.630
Zn Tc Ir Pt
1 2 1 1
Direct
0.000 0.000 0.000 Zn
0.000 0.500 0.500 Tc
0.500 0.000 0.500 Tc
0.000 0.000 0.500 Ir
0.500 0.500 0.000 Pt
```

Output
- symmetry = P4/mmm, No. 123
- spin magnetization (μB/f.u.) = 2.893
- calculated formation energy (eV per atom) = 1.41
- theoretical density (g/cm3) = 10.6



# 7
# K2PmTiS4

An optimized crystal structure of K2PmTiS4 (PBE, Alexandria via LeMat-Bulk).

Cell and atoms, written as POSCAR:
```
K2PmTiS4
1.0
6.807 0.000 0.000
0.000 3.929 0.000
-2.259 0.000 7.357
K Pm Ti S
2 1 1 4
Direct
0.000 0.000 0.000 K
0.500 0.500 0.000 K
0.000 0.500 0.500 Pm
0.500 0.000 0.500 Ti
0.260 0.000 0.702 S
0.293 0.500 0.309 S
0.707 0.500 0.691 S
0.740 0.000 0.298 S
```

Output
- formation energy without anion corrections (eV/atom) = -1.532
- symmetry = P2/m, No. 10
- spin magnetization (μB/f.u.) = 1.008
- theoretical density (g/cm3) = 3.4



# 8
# MgAg3Ru

An optimized crystal structure of MgAg3Ru (PBE, Alexandria via LeMat-Bulk).

Cell and atoms, written as POSCAR:
```
MgAg3Ru
1.0
5.051 0.000 0.000
0.000 5.051 0.000
0.000 0.000 5.051
Mg Ag Ru
1 3 1
Direct
0.000 0.000 0.000 Mg
0.000 0.500 0.500 Ag
0.500 0.000 0.500 Ag
0.500 0.500 0.000 Ag
0.500 0.500 0.500 Ru
```

Output
- symmetry = Pm-3m, No. 221
- spin magnetization (μB/f.u.) = 2.026
- ΔE to the lowest computed polymorph (meV/atom) = 0
- calculated formation energy (eV per atom) = 1.08
- theoretical density (g/cm3) = 5.8



# 9
# ScBe3Ag

An optimized crystal structure of ScBe3Ag (PBE, Alexandria via LeMat-Bulk).

Cell and atoms, written as POSCAR:
```
ScBe3Ag
1.0
4.273 0.000 0.000
0.000 4.273 0.000
0.000 0.000 4.273
Sc Be Ag
1 3 1
Direct
0.000 0.000 0.000 Sc
0.000 0.500 0.500 Be
0.500 0.000 0.500 Be
0.500 0.500 0.000 Be
0.500 0.500 0.500 Ag
```

Output
- symmetry = Pm-3m, No. 221
- spin magnetization (μB/f.u.) = 0.000
- ΔE to the lowest computed polymorph (meV/atom) = 0
- calculated formation energy (eV per atom) = 0.48
- theoretical density (g/cm3) = 3.8



# 10
# MgTc2W

An optimized crystal structure of MgTc2W (PBE, Alexandria via LeMat-Bulk).

Cell and atoms, written as POSCAR:
```
MgTc2W
1.0
1.566 -2.250 0.000
1.566 2.250 0.000
0.000 0.000 8.986
Mg Tc W
1 2 1
Direct
0.000 0.000 0.000 Mg
0.500 0.500 0.260 Tc
0.500 0.500 0.740 Tc
0.000 0.000 0.500 W
```

Output
- symmetry = Cmmm, No. 65
- spin magnetization (μB/f.u.) = 0.000
- calculated formation energy (eV per atom) = 0.15
- theoretical density (g/cm3) = 10.6



# 11
# Mg2NbSb2

An optimized crystal structure of Mg2NbSb2 (PBE, Alexandria via LeMat-Bulk).

Cell and atoms, written as POSCAR:
```
Mg2NbSb2
1.0
-2.152 2.152 6.938
2.152 -2.152 6.938
2.152 2.152 -6.938
Mg Nb Sb
2 1 2
Direct
0.097 0.097 0.000 Mg
0.903 0.903 0.000 Mg
0.500 0.500 0.000 Nb
0.250 0.750 0.500 Sb
0.750 0.250 0.500 Sb
```

Output
- formation energy without anion corrections (eV/atom) = 0.622
- symmetry = I4/mmm, No. 139
- spin magnetization (μB/f.u.) = 3.000
- theoretical density (g/cm3) = 5.0



# 12
# Ba3NaLa

An optimized crystal structure of Ba3NaLa (PBE, Alexandria via LeMat-Bulk).

Cell and atoms, written as POSCAR:
```
Ba3NaLa
1.0
6.655 0.000 0.000
0.000 6.655 0.000
0.000 0.000 6.655
Ba Na La
3 1 1
Direct
0.000 0.000 0.500 Ba
0.000 0.500 0.000 Ba
0.500 0.000 0.000 Ba
0.500 0.500 0.500 Na
0.000 0.000 0.000 La
```

Output
- symmetry = Pm-3m, No. 221
- spin magnetization (μB/f.u.) = 1.351
- ΔE to the lowest computed polymorph (meV/atom) = 0
- calculated formation energy (eV per atom) = 0.49
- theoretical density (g/cm3) = 3.2